First-principles (SCAN) data for a PBEsol-optimized structure of KCoBr3, as listed in Alexandria.

```
data_KCoBr3
_chemical_formula_sum 'K1 Co1 Br3'
_symmetry_space_group_name_H-M 'P m -3 m'
_symmetry_Int_Tables_number 221
_symmetry_space_group_name_Hall '-P 4 2 3'
_cell_length_a 5.7526
_cell_length_b 5.7526
_cell_length_c 5.7526
_cell_angle_alpha 90.00
_cell_angle_beta 90.00
_cell_angle_gamma 90.00
loop_
_atom_site_label
_atom_site_fract_x
_atom_site_fract_y
_atom_site_fract_z
K1 0.0000 0.0000 0.0000
Co1 0.5000 0.5000 0.5000
Br1 0.0000 0.0000 0.5000
```

Output
- Uncorrected energy: -16.51 eV per atom
- Size of the total moment: 3.09 μB per formula unit
- Formation energy (no corrections): 27.78 kJ/mol of atoms
- Calculated density: 2.9 Mg/m³



First-principles (SCAN) data for a PBEsol-optimized structure of KCoBr2, as listed in Alexandria.

```
data_KCoBr2
_chemical_formula_sum 'K1 Co1 Br2'
_symmetry_space_group_name_H-M 'P 4 m m'
_symmetry_Int_Tables_number 99
_symmetry_space_group_name_Hall 'P 4 -2'
_cell_length_a 3.7286
_cell_length_b 3.7286
_cell_length_c 7.5804
_cell_angle_alpha 90.00
_cell_angle_beta 90.00
_cell_angle_gamma 90.00
loop_
_atom_site_label
_atom_site_fract_x
_atom_site_fract_y
_atom_site_fract_z
K1 0.0000 0.0000 0.0000
Co1 0.5000 0.5000 0.5220
Br1 0.0000 0.0000 0.5849
Br2 0.5000 0.5000 0.2053
```

Output
- Uncorrected energy: -16.93 eV per atom
- Size of the total moment: 2.00 μB per formula unit
- Formation energy (no corrections): -76.29 kJ/mol of atoms
- Calculated density: 4.1 Mg/m³



First-principles (SCAN) data for a PBEsol-optimized structure of K2CoBr, as listed in Alexandria.

```
data_K2CoBr
_chemical_formula_sum 'K2 Co1 Br1'
_symmetry_space_group_name_H-M 'P 4 m m'
_symmetry_Int_Tables_number 99
_symmetry_space_group_name_Hall 'P 4 -2'
_cell_length_a 4.6825
_cell_length_b 4.6825
_cell_length_c 6.7176
_cell_angle_alpha 90.00
_cell_angle_beta 90.00
_cell_angle_gamma 90.00
loop_
_atom_site_label
_atom_site_fract_x
_atom_site_fract_y
_atom_site_fract_z
K1 0.0000 0.0000 0.0000
K2 0.5000 0.5000 0.4985
Co1 0.5000 0.5000 0.9983
Br1 0.0000 0.0000 0.5000
```

Output
- Uncorrected energy: -13.55 eV per atom
- Size of the total moment: 2.00 μB per formula unit
- Formation energy (no corrections): -19.06 kJ/mol of atoms
- Calculated density: 2.4 Mg/m³



First-principles (SCAN) data for a PBEsol-optimized structure of KCoBr2, as listed in Alexandria.

```
data_KCoBr2
_chemical_formula_sum 'K1 Co1 Br2'
_symmetry_space_group_name_H-M 'P 4/m m m'
_symmetry_Int_Tables_number 123
_symmetry_space_group_name_Hall '-P 4 2'
_cell_length_a 5.0942
_cell_length_b 5.0942
_cell_length_c 3.4874
_cell_angle_alpha 90.00
_cell_angle_beta 90.00
_cell_angle_gamma 90.00
loop_
_atom_site_label
_atom_site_fract_x
_atom_site_fract_y
_atom_site_fract_z
K1 0.0000 0.0000 0.0000
Co1 0.5000 0.5000 0.0000
Br1 0.0000 0.5000 0.5000
```

Output
- Uncorrected energy: -16.56 eV per atom
- Size of the total moment: 2.32 μB per formula unit
- Formation energy (no corrections): -40.28 kJ/mol of atoms
- Calculated density: 4.7 Mg/m³